(1)
Computed, not measured: crystalline PbW3Br at its relaxed geometry at the PBE level of DFT.

It has space group Pm-3m (No. 221), with a = 5.102 Å, b = 5.102 Å, c = 5.102 Å, α = 90.00°, β = 90.00° and γ = 90.00°. The inequivalent atoms are Pb at (0.000, 0.000, 0.000), W at (0.000, 0.000, 0.500) and Br at (0.500, 0.500, 0.500).

The polymorph energy (0 for the lowest one) is 1214 meV per atom. The crystal system is cubic. For the uncorrected energy, the calculation gives -5.425 eV per atom. The value obtained for the total magnetization is 0.0 μB/cell. The calculation puts the raw formation energy at 3.42 eV/atom.

***

(2)
Computed, not measured: crystalline Tb2TmPuP4 at its relaxed geometry at the PBE level of DFT.

It has space group P2/m (No. 10), with a = 6.908 Å, b = 4.004 Å, c = 6.916 Å, α = 90.00°, β = 109.49° and γ = 90.00°. The inequivalent atoms are Tb at (0.000, 0.000, 0.000), Tb at (0.500, 0.500, 0.000), Tm at (0.000, 0.500, 0.500), Pu at (0.500, 0.000, 0.500), P at (0.249, 0.000, 0.745) and P at (0.253, 0.500, 0.256).

The crystal system is monoclinic. As for the formation energy: -1485 meV per atom. For the uncorrected energy, the calculation gives -7.698 eV per atom. The value obtained for the total magnetization is 4.9 μB/cell.

***

(3)
Computed, not measured: crystalline Pu2HfSn8 at its relaxed geometry at the PBE level of DFT.

It has space group C2/m (No. 12), with a = 9.249 Å, b = 6.323 Å, c = 10.008 Å, α = 90.00°, β = 90.06° and γ = 90.00°. The inequivalent atoms are Pu at (0.000, 0.000, 0.176), Hf at (0.000, 0.500, 0.500), Sn at (0.000, 0.500, 0.183), Sn at (0.250, 0.250, 0.000) and Sn at (0.250, 0.250, 0.354).

The crystal system is monoclinic. As for the formation energy: -134 meV per atom. For the uncorrected energy, the calculation gives -6.555 eV per atom. The value obtained for the total magnetization is 22.8 μB/cell.

***

(4)
Computed, not measured: crystalline CeErIr4 at its relaxed geometry at the PBE level of DFT.

It has space group F-43m (No. 216), with a = 7.596 Å, b = 7.596 Å, c = 7.596 Å, α = 90.00°, β = 90.00° and γ = 90.00°. The inequivalent atoms are Ce at (0.000, 0.000, 0.000), Er at (0.250, 0.250, 0.750) and Ir at (0.125, 0.125, 0.375).

The crystal system is cubic. As for the formation energy: -791 meV per atom. For the uncorrected energy, the calculation gives -8.448 eV per atom. The value obtained for the total magnetization is 0.0 μB/cell.

***

(5)
Computed, not measured: crystalline TcPICl2 at its relaxed geometry at the PBE level of DFT.

It has space group P4/mmm (No. 123), with a = 5.337 Å, b = 5.337 Å, c = 5.389 Å, α = 90.00°, β = 90.00° and γ = 90.00°. The inequivalent atoms are Tc at (0.000, 0.000, 0.000), P at (0.500, 0.500, 0.000), I at (0.500, 0.500, 0.500) and Cl at (0.000, 0.500, 0.500).

The polymorph energy (0 for the lowest one) is 1187 meV per atom. The crystal system is tetragonal. For the uncorrected energy, the calculation gives -2.843 eV per atom. The value obtained for the total magnetization is 4.9 μB/cell. The calculation puts the raw formation energy at 1.36 eV/atom.

***

(6)
Computed, not measured: crystalline PaGe2O8 at its relaxed geometry at the PBE level of DFT.

It has space group Fm-3m (No. 225), with a = 9.273 Å, b = 9.273 Å, c = 9.273 Å, α = 90.00°, β = 90.00° and γ = 90.00°. The inequivalent atoms are Pa at (0.000, 0.000, 0.000), Ge at (0.250, 0.250, 0.250) and O at (0.140, 0.140, 0.140).

The crystal system is cubic. For the uncorrected energy, the calculation gives -6.936 eV per atom. The value obtained for the total magnetization is 12.2 μB/cell. The calculation puts the raw formation energy at -1.63 eV/atom.

***

(7)
Computed, not measured: crystalline Ce2HoPa at its relaxed geometry at the PBE level of DFT.

It has space group R-3m (No. 166, hexagonal axes), with a = 3.8039 Å, b = 3.8039 Å, c = 29.2641 Å, α = 90.00°, β = 90.00° and γ = 120.00°. The inequivalent atoms are Ce at (0.0000, 0.0000, 0.1110), Ho at (0.0000, 0.0000, 0.0000) and Pa at (0.0000, 0.0000, 0.5000).

The polymorph energy (0 for the lowest one) is 630 meV per atom. The crystal system is trigonal. As for the formation energy: 710 meV per atom. For the uncorrected energy, the calculation gives -5.775 eV per atom. The value obtained for the total magnetization is 0.0 μB/cell.

***

(8)
Computed, not measured: crystalline MnMo2Ru at its relaxed geometry at the PBE level of DFT.

It has space group I4/mmm (No. 139), with a = 3.849 Å, b = 3.849 Å, c = 7.868 Å, α = 90.00°, β = 90.00° and γ = 90.00°. The inequivalent atoms are Mn at (0.000, 0.000, 0.000), Mo at (0.000, 0.500, 0.250) and Ru at (0.000, 0.000, 0.500).

The polymorph energy (0 for the lowest one) is 53 meV per atom. The crystal system is tetragonal. As for the formation energy: 121 meV per atom. For the uncorrected energy, the calculation gives -9.906 eV per atom. The value obtained for the total magnetization is 4.7 μB/cell.

***

(9)
Computed, not measured: crystalline Tc2TeOs at its relaxed geometry at the PBE level of DFT.

It has space group Pmm2 (No. 25), with a = 2.986 Å, b = 3.914 Å, c = 5.644 Å, α = 90.00°, β = 90.00° and γ = 90.00°. The inequivalent atoms are Tc at (0.000, 0.000, 0.000), Tc at (0.500, 0.500, 0.297), Te at (0.000, 0.000, 0.512) and Os at (0.500, 0.500, 0.831).

The polymorph energy (0 for the lowest one) is 102 meV per atom. The crystal system is orthorhombic. For the uncorrected energy, the calculation gives -8.254 eV per atom. The value obtained for the total magnetization is 0.0 μB/cell. The calculation puts the raw formation energy at 0.52 eV/atom.

***

(10)
Computed, not measured: crystalline CoAg2Ru at its relaxed geometry at the PBE level of DFT.

It has space group I-4m2 (No. 119), with a = 4.027 Å, b = 4.027 Å, c = 7.554 Å, α = 90.00°, β = 90.00° and γ = 90.00°. The inequivalent atoms are Co at (0.000, 0.000, 0.000), Ag at (0.000, 0.000, 0.500), Ag at (0.000, 0.500, 0.250) and Ru at (0.000, 0.500, 0.750).

The polymorph energy (0 for the lowest one) is 240 meV per atom. The crystal system is tetragonal. As for the formation energy: 562 meV per atom. For the uncorrected energy, the calculation gives -4.959 eV per atom. The value obtained for the total magnetization is 6.9 μB/cell.

***

(11)
Computed, not measured: crystalline NaInBi3 at its relaxed geometry at the PBE level of DFT.

It has space group Pm-3m (No. 221), with a = 5.854 Å, b = 5.854 Å, c = 5.854 Å, α = 90.00°, β = 90.00° and γ = 90.00°. The inequivalent atoms are Na at (0.000, 0.000, 0.000), In at (0.500, 0.500, 0.500) and Bi at (0.000, 0.500, 0.500).

The polymorph energy (0 for the lowest one) is 474 meV per atom. The crystal system is cubic. As for the formation energy: 403 meV per atom. For the uncorrected energy, the calculation gives -2.737 eV per atom. The value obtained for the total magnetization is 0.0 μB/cell.

***

(12)
Computed, not measured: crystalline LiLa2SbF at its relaxed geometry at the PBE level of DFT.

It has space group P4/mmm (No. 123), with a = 5.496 Å, b = 5.496 Å, c = 4.543 Å, α = 90.00°, β = 90.00° and γ = 90.00°. The inequivalent atoms are Li at (0.000, 0.000, 0.000), La at (0.000, 0.500, 0.000), Sb at (0.000, 0.000, 0.500) and F at (0.500, 0.500, 0.500).

The crystal system is tetragonal. For the uncorrected energy, the calculation gives -4.231 eV per atom. The value obtained for the total magnetization is 0.0 μB/cell. The calculation puts the raw formation energy at -0.68 eV/atom.

***

(13)
Computed, not measured: crystalline Ac2Ga3Ge4Pd at its relaxed geometry at the PBE level of DFT.

It has space group P-4m2 (No. 115), with a = 4.723 Å, b = 4.723 Å, c = 9.845 Å, α = 90.00°, β = 90.00° and γ = 90.00°. The inequivalent atoms are Ac at (0.000, 0.500, 0.244), Ga at (0.000, 0.000, 0.000), Ga at (0.000, 0.500, 0.618), Ge at (0.000, 0.000, 0.500), Ge at (0.000, 0.500, 0.877), Ge at (0.500, 0.500, 0.500) and Pd at (0.500, 0.500, 0.000).

The crystal system is tetragonal. As for the formation energy: -506 meV per atom. For the uncorrected energy, the calculation gives -4.602 eV per atom. The value obtained for the total magnetization is 0.0 μB/cell.